#A
4
Lattice="3.356 0.000 0.000 0.000 3.356 0.000 0.000 0.000 9.092" Properties=species:S:1:pos:R:3 comment="HoUSn2 (PBE-GGA, relaxed)" space_group=P4/mmm pbc="T T T"
Ho 0.000 0.000 0.000
U 0.000 0.000 4.546
Sn 1.678 1.678 2.249
Sn 1.678 1.678 6.843

=====

#B
4
Lattice="4.941 0.000 0.000 0.000 4.941 0.000 0.000 0.000 4.276" Properties=species:S:1:pos:R:3 comment="HoUSn2 (PBE-GGA, relaxed)" space_group=P4/mmm pbc="T T T"
Ho 0.000 0.000 0.000
U 2.471 2.471 0.000
Sn 0.000 2.471 2.138
Sn 2.471 0.000 2.138

=====

Name the most stable of them. #A.

=====

#A
4
Lattice="4.786 0.000 0.000 0.000 4.786 0.000 0.000 0.000 4.821" Properties=species:S:1:pos:R:3 comment="YHo2Sn (PBE-GGA, relaxed)" space_group=P4/mmm pbc="T T T"
Y 0.000 0.000 0.000
Ho 0.000 2.393 2.410
Ho 2.393 0.000 2.410
Sn 2.393 2.393 0.000

=====

#B
16
Lattice="4.245 0.000 0.000 0.000 12.271 0.000 0.000 0.000 9.376" Properties=species:S:1:pos:R:3 comment="YHo2Sn (PBE-GGA, relaxed)" space_group=Cmcm pbc="T T T"
Y 0.000 0.713 2.344
Y 0.000 11.558 7.032
Y 2.122 5.423 7.032
Y 2.122 6.848 2.344
Ho 0.000 4.474 0.511
Ho 0.000 4.474 4.177
Ho 0.000 7.797 5.199
Ho 0.000 7.797 8.865
Ho 2.122 1.661 5.199
Ho 2.122 1.661 8.865
Ho 2.122 10.610 0.511
Ho 2.122 10.610 4.177
Sn 0.000 3.030 7.032
Sn 0.000 9.241 2.344
Sn 2.122 3.105 2.344
Sn 2.122 9.166 7.032

=====

Name the most stable of them. #A.